Entry 1:
# CrNi2 GGA-PBEsol optimized geometry
data_CrNi2
_cell_length_a 3.397
_cell_length_b 4.979
_cell_length_c 7.469
_cell_angle_alpha 90.00
_cell_angle_beta 90.00
_cell_angle_gamma 90.00
_space_group_name_H-M_alt 'P 1'
_space_group_IT_number 1
loop_
_space_group_symop_operation_xyz
'x,y,z'
loop_
_atom_site_label
_atom_site_type_symbol
_atom_site_fract_x
_atom_site_fract_y
_atom_site_fract_z
Cr1 Cr 0.750 0.384 0.424
Ni1 Ni 0.750 0.365 0.750
Cr2 Cr 0.250 0.616 0.576
Ni2 Ni 0.250 0.620 0.915
Cr3 Cr 0.250 0.116 0.924
Ni3 Ni 0.250 0.635 0.250
Ni4 Ni 0.250 0.135 0.250
Ni5 Ni 0.750 0.880 0.415
Ni6 Ni 0.750 0.865 0.750
Ni7 Ni 0.250 0.120 0.585
Cr4 Cr 0.750 0.884 0.076
Ni8 Ni 0.750 0.380 0.085
# **Formation energy from the elements**: 0.014 eV/atom

Entry 2:
# CaCrTc2 GGA-PBEsol optimized geometry
data_CaCrTc2
_cell_length_a 2.499
_cell_length_b 5.341
_cell_length_c 5.341
_cell_angle_alpha 119.60
_cell_angle_beta 90.00
_cell_angle_gamma 90.00
_space_group_name_H-M_alt 'P 1'
_space_group_IT_number 1
loop_
_space_group_symop_operation_xyz
'x,y,z'
loop_
_atom_site_label
_atom_site_type_symbol
_atom_site_fract_x
_atom_site_fract_y
_atom_site_fract_z
Tc1 Tc 0.000 0.000 0.500
Tc2 Tc 0.000 0.500 0.000
Ca1 Ca 0.500 0.000 0.000
Cr1 Cr 0.500 0.500 0.500
# **Formation energy from the elements**: 0.820 eV/atom

Entry 3:
# CoWCl2 GGA-PBEsol optimized geometry
data_CoWCl2
_cell_length_a 4.349
_cell_length_b 4.349
_cell_length_c 4.349
_cell_angle_alpha 60.00
_cell_angle_beta 60.00
_cell_angle_gamma 60.00
_space_group_name_H-M_alt 'P 1'
_space_group_IT_number 1
loop_
_space_group_symop_operation_xyz
'x,y,z'
loop_
_atom_site_label
_atom_site_type_symbol
_atom_site_fract_x
_atom_site_fract_y
_atom_site_fract_z
Cl1 Cl 0.000 0.000 0.000
Cl2 Cl 0.750 0.750 0.750
Co1 Co 0.500 0.500 0.500
W1 W 0.250 0.250 0.250
# **Raw formation energy**: 414 kJ/mol of formula units

Entry 4:
# Li2TlSb GGA-PBEsol optimized geometry
data_Li2TlSb
_cell_length_a 4.913
_cell_length_b 4.913
_cell_length_c 4.913
_cell_angle_alpha 60.00
_cell_angle_beta 60.00
_cell_angle_gamma 60.00
_space_group_name_H-M_alt 'P 1'
_space_group_IT_number 1
loop_
_space_group_symop_operation_xyz
'x,y,z'
loop_
_atom_site_label
_atom_site_type_symbol
_atom_site_fract_x
_atom_site_fract_y
_atom_site_fract_z
Tl1 Tl 0.000 0.000 0.000
Li1 Li 0.250 0.250 0.250
Li2 Li 0.750 0.750 0.750
Sb1 Sb 0.500 0.500 0.500
# **Raw formation energy**: -169 kJ/mol of formula units

Entry 5:
# Hf2S GGA-PBEsol optimized geometry
data_Hf2S
_cell_length_a 3.340
_cell_length_b 3.340
_cell_length_c 11.657
_cell_angle_alpha 90.00
_cell_angle_beta 90.00
_cell_angle_gamma 120.00
_space_group_name_H-M_alt 'P 1'
_space_group_IT_number 1
loop_
_space_group_symop_operation_xyz
'x,y,z'
loop_
_atom_site_label
_atom_site_type_symbol
_atom_site_fract_x
_atom_site_fract_y
_atom_site_fract_z
S1 S 0.000 0.000 0.750
Hf1 Hf 0.333 0.667 0.101
Hf2 Hf 0.333 0.667 0.399
Hf3 Hf 0.667 0.333 0.601
S2 S 0.000 0.000 0.250
Hf4 Hf 0.667 0.333 0.899
# **Raw formation energy**: -322 kJ/mol of formula units

Entry 6:
# Sr2YTlCu2O7 GGA-PBEsol optimized geometry
data_Sr2YTlCu2O7
_cell_length_a 3.771
_cell_length_b 3.781
_cell_length_c 11.952
_cell_angle_alpha 90.00
_cell_angle_beta 90.00
_cell_angle_gamma 90.00
_space_group_name_H-M_alt 'P 1'
_space_group_IT_number 1
loop_
_space_group_symop_operation_xyz
'x,y,z'
loop_
_atom_site_label
_atom_site_type_symbol
_atom_site_fract_x
_atom_site_fract_y
_atom_site_fract_z
O1 O 0.000 0.493 0.379
Sr1 Sr 0.500 0.491 0.792
O2 O 0.500 0.558 0.000
O3 O 0.000 0.493 0.621
O4 O 0.500 0.992 0.380
O5 O 0.000 0.007 0.825
Tl1 Tl 0.000 0.939 0.000
O6 O 0.000 0.007 0.175
Sr2 Sr 0.500 0.491 0.208
Y1 Y 0.500 0.492 0.500
O7 O 0.500 0.992 0.620
Cu1 Cu 0.000 0.993 0.362
Cu2 Cu 0.000 0.993 0.638
# **Raw formation energy**: -2419 kJ/mol of formula units

Entry 7:
# TaAl2Tl GGA-PBEsol optimized geometry
data_TaAl2Tl
_cell_length_a 3.611
_cell_length_b 3.611
_cell_length_c 5.590
_cell_angle_alpha 90.00
_cell_angle_beta 90.00
_cell_angle_gamma 90.00
_space_group_name_H-M_alt 'P 1'
_space_group_IT_number 1
loop_
_space_group_symop_operation_xyz
'x,y,z'
loop_
_atom_site_label
_atom_site_type_symbol
_atom_site_fract_x
_atom_site_fract_y
_atom_site_fract_z
Al1 Al 0.000 0.000 0.002
Tl1 Tl 0.500 0.500 0.755
Ta1 Ta 0.000 0.000 0.480
Al2 Al 0.500 0.500 0.263
# **Formation energy from the elements**: 0.235 eV/atom

Entry 8:
# KBa2Se GGA-PBEsol optimized geometry
data_KBa2Se
_cell_length_a 4.493
_cell_length_b 4.493
_cell_length_c 11.501
_cell_angle_alpha 90.00
_cell_angle_beta 90.00
_cell_angle_gamma 90.00
_space_group_name_H-M_alt 'P 1'
_space_group_IT_number 1
loop_
_space_group_symop_operation_xyz
'x,y,z'
loop_
_atom_site_label
_atom_site_type_symbol
_atom_site_fract_x
_atom_site_fract_y
_atom_site_fract_z
Ba1 Ba 0.000 0.000 0.891
K1 K 0.000 0.000 0.489
Ba2 Ba 0.500 0.500 0.195
Se1 Se 0.500 0.500 0.924
# **Raw formation energy**: -316 kJ/mol of formula units